The following is a DFT calculation (PBE-GGA) of a relaxed structure of TlCr2Pt.

a b c (Å): 4.956 4.953 3.859
angles (deg): 67.12 67.04 45.84
Sites, in units of the cell vectors:
1 Tl 0.000 0.000 0.000
2 Cr 0.250 0.250 0.250
3 Cr 0.750 0.750 0.750
4 Pt 0.500 0.500 0.500

Computed properties:
symmetry: No. 69
magnetization: 0.0 μB per cell
DOS(E_F): 3.5 states/eV per cell
offset from the most stable computed form: 0.262 eV/atom
formation enthalpy at 0 K: 0.50 eV/atom

The following is a DFT calculation (PBE-GGA) of a relaxed structure of ZnTe2As.

a b c (Å): 4.758 4.758 7.765
angles (deg): 90.00 90.00 130.78
Sites, in units of the cell vectors:
1 Zn 0.000 0.000 0.000
2 Te 0.500 0.500 0.245
3 Te 0.500 0.500 0.755
4 As 0.000 0.000 0.500

Computed properties:
symmetry: No. 65
magnetization: 0.0 μB per cell
DOS(E_F): 2.5 states/eV per cell
offset from the most stable computed form: 0.284 eV/atom
ΔE_f (raw): 0.2216 eV per atom

The following is a DFT calculation (PBE-GGA) of a relaxed structure of RbTlO2.

a b c (Å): 6.145 6.145 6.145
angles (deg): 116.91 116.91 95.45
Sites, in units of the cell vectors:
1 Rb 0.000 0.000 0.000
2 Rb 0.750 0.250 0.500
3 Tl 0.250 0.750 0.500
4 Tl 0.500 0.500 0.000
5 O 0.208 0.625 0.083
6 O 0.375 0.458 0.583
7 O 0.542 0.125 0.917
8 O 0.875 0.792 0.417

Computed properties:
symmetry: No. 122
magnetization: 0.0 μB per cell
DOS(E_F): 0.0 states/eV per cell
ΔE_f (raw): -0.9755 eV per atom

The following is a DFT calculation (PBE-GGA) of a relaxed structure of SmThHg.

a b c (Å): 7.042 7.042 7.042
angles (deg): 149.49 149.49 43.69
Sites, in units of the cell vectors:
1 Sm 0.000 0.000 0.000
2 Th 0.310 0.310 0.000
3 Hg 0.647 0.647 0.000

Computed properties:
symmetry: No. 107
magnetization: 0.0 μB per cell
DOS(E_F): 2.6 states/eV per cell
offset from the most stable computed form: 0.026 eV/atom
formation enthalpy at 0 K: -0.20 eV/atom

The following is a DFT calculation (PBE-GGA) of a relaxed structure of ZrCu2Hg.

a b c (Å): 4.720 4.720 5.505
angles (deg): 97.43 97.43 35.30
Sites, in units of the cell vectors:
1 Zr 0.000 0.000 0.000
2 Cu 0.250 0.250 0.768
3 Cu 0.750 0.750 0.232
4 Hg 0.500 0.500 0.500

Computed properties:
symmetry: No. 12
magnetization: 0.0 μB per cell
DOS(E_F): 2.5 states/eV per cell
formation enthalpy at 0 K: 0.09 eV/atom

The following is a DFT calculation (PBE-GGA) of a relaxed structure of TbEuSb.

a b c (Å): 5.126 5.126 4.363
angles (deg): 90.00 90.00 120.00
Sites, in units of the cell vectors:
1 Tb 0.000 0.000 0.000
2 Eu 0.667 0.333 0.479
3 Sb 0.333 0.667 0.879

Computed properties:
symmetry: No. 156
magnetization: 7.3 μB per cell
DOS(E_F): 2.7 states/eV per cell
offset from the most stable computed form: 0.127 eV/atom
ΔE_f (raw): -0.5159 eV per atom

The following is a DFT calculation (PBE-GGA) of a relaxed structure of SrReSN2.

a b c (Å): 4.190 4.190 8.927
angles (deg): 90.00 90.00 90.00
Sites, in units of the cell vectors:
1 Sr 0.000 0.000 0.000
2 Re 0.000 0.000 0.500
3 S 0.500 0.500 0.500
4 N 0.000 0.500 0.000
5 N 0.500 0.000 0.000

Computed properties:
symmetry: No. 123
magnetization: 6.2 μB per cell
DOS(E_F): 2.7 states/eV per cell
offset from the most stable computed form: 3.081 eV/atom
ΔE_f (raw): 2.6533 eV per atom

The following is a DFT calculation (PBE-GGA) of a relaxed structure of HoPu2CuS5.

a b c (Å): 8.414 8.414 11.680
angles (deg): 90.00 90.00 153.70
Sites, in units of the cell vectors:
1 Ho 0.182 0.818 0.500
2 Ho 0.818 0.182 0.000
3 Pu 0.109 0.891 0.820
4 Pu 0.116 0.884 0.166
5 Pu 0.884 0.116 0.666
6 Pu 0.891 0.109 0.320
7 Cu 0.448 0.552 0.898
8 Cu 0.552 0.448 0.398
9 S 0.015 0.985 0.492
10 S 0.303 0.697 0.163
11 S 0.314 0.686 0.832
12 S 0.347 0.653 0.492
13 S 0.495 0.505 0.223
14 S 0.505 0.495 0.723
15 S 0.653 0.347 0.992
16 S 0.686 0.314 0.332
17 S 0.697 0.303 0.663
18 S 0.985 0.015 0.992

Computed properties:
symmetry: No. 36
magnetization: 20.0 μB per cell
DOS(E_F): 35.0 states/eV per cell
ΔE_f (raw): -1.5269 eV per atom

Number 1: VASP energy -6.409 eV/atom. Number 2: VASP energy -2.830 eV/atom. Number 3: VASP energy -4.288 eV/atom. Number 4: VASP energy -4.346 eV/atom. Number 5: VASP energy -4.168 eV/atom. Number 6: VASP energy -6.858 eV/atom. Number 7: VASP energy -4.328 eV/atom. Number 8: VASP energy -7.969 eV/atom.